A relaxed TbGaSiIr2 crystal. Source: the Open Quantum Materials Database, functional GGA-PBE.

Unit cell a=5.828 b=5.828 c=5.828 alpha=138.27 beta=138.27 gamma=60.48
Sites, in units of the cell vectors:
Tb (0.000, 0.000, 0.000)
Ga (0.383, 0.383, 0.000)
Si (0.629, 0.629, 0.000)
Ir (0.243, 0.743, 0.500)
Ir (0.743, 0.243, 0.500)

M_tot in μB per atom: 0.0002
SG: I4mm
Energy above the lowest structure with this stoichiometry in eV/atom: 0.027